Entry 1:
First-principles (GGA-PBE) data for crystalline La2ZrOs at its relaxed geometry, as listed in Alexandria.

For the excess energy over the best structure of this formula in the dataset, the calculation gives 11.01 kcal/mol of atoms.

The structure belongs to space group R-3m (No. 166, hexagonal axes); the cell edges are 3.5227, 3.5227 and 29.5561 Å and the angles 90.00°, 90.00° and 120.00°. The distinct sites, in fractional coordinates, are La at (0.0000, 0.0000, 0.2385), Zr at (0.0000, 0.0000, 0.0000) and Os at (0.0000, 0.0000, 0.5000).

Entry 2:
First-principles (GGA-PBE) data for crystalline LaZrOs2 at its relaxed geometry, as listed in Alexandria.

The total energy comes out at -35.4 eV/f.u.

The structure belongs to space group Imm2 (No. 44); the cell edges are 3.116, 4.751 and 11.134 Å and the angles 90.00°, 90.00° and 90.00°. The distinct sites, in fractional coordinates, are La at (0.000, 0.000, 0.000), Zr at (0.000, 0.500, 0.213), Os at (0.000, 0.000, 0.454) and Os at (0.000, 0.500, 0.766).

Entry 3:
First-principles (GGA-PBE) data for crystalline La2ZrOs at its relaxed geometry, as listed in Alexandria.

For the excess energy over the best structure of this formula in the dataset, the calculation gives 6.79 kcal/mol of atoms.

The structure belongs to space group F-43m (No. 216); the cell edges are 7.211, 7.211 and 7.211 Å and the angles 90.00°, 90.00° and 90.00°. The distinct sites, in fractional coordinates, are La at (0.000, 0.000, 0.000), La at (0.250, 0.250, 0.250), Zr at (0.000, 0.000, 0.500) and Os at (0.250, 0.250, 0.750).

Entry 4:
First-principles (GGA-PBE) data for crystalline LaZr2Os at its relaxed geometry, as listed in Alexandria.

For the excess energy over the best structure of this formula in the dataset, the calculation gives 4.42 kcal/mol of atoms.

The structure belongs to space group Fm-3m (No. 225); the cell edges are 6.942, 6.942 and 6.942 Å and the angles 90.00°, 90.00° and 90.00°. The distinct sites, in fractional coordinates, are La at (0.000, 0.000, 0.000), Zr at (0.250, 0.250, 0.250) and Os at (0.000, 0.000, 0.500).

Entry 5:
First-principles (GGA-PBE) data for crystalline LaZr2Os at its relaxed geometry, as listed in Alexandria.

For the excess energy over the best structure of this formula in the dataset, the calculation gives 0.00 kcal/mol of atoms.

The structure belongs to space group P4/mmm (No. 123); the cell edges are 3.322, 3.322 and 8.245 Å and the angles 90.00°, 90.00° and 90.00°. The distinct sites, in fractional coordinates, are La at (0.000, 0.000, 0.000), Zr at (0.500, 0.500, 0.307) and Os at (0.000, 0.000, 0.500).

Entry 6:
First-principles (GGA-PBE) data for crystalline La2Zr2Os at its relaxed geometry, as listed in Alexandria.

The total energy comes out at -38.0 eV/f.u.

The structure belongs to space group P4/mbm (No. 127); the cell edges are 6.925, 6.925 and 5.576 Å and the angles 90.00°, 90.00° and 90.00°. The distinct sites, in fractional coordinates, are La at (0.170, 0.330, 0.000), Zr at (0.156, 0.656, 0.500) and Os at (0.000, 0.000, 0.500).